(a)
# PrNd4Dy3

An optimized crystal structure of PrNd4Dy3 (GGA-PBE, Alexandria via LeMat-Bulk).

Cell: 10.276 7.265 7.256 Å, 90.00 90.00 90.00°
Space group Pmna (No. 53)
Symmetry-distinct sites (fractional):
1 Pr 0.000 0.000 0.000 x2
2 Nd 0.000 0.000 0.500 x2
3 Nd 0.000 0.500 0.000 x2
4 Nd 0.250 0.252 0.250 x4
5 Dy 0.000 0.500 0.500 x2
6 Dy 0.250 0.252 0.750 x4

---

(b)
# PrNd4Dy3

An optimized crystal structure of PrNd4Dy3 (GGA-PBE, Alexandria via LeMat-Bulk).

Cell: 11.708 7.365 6.356 Å, 90.00 90.00 90.00°
Space group Pmn2_1 (No. 31)
Symmetry-distinct sites (fractional):
1 Pr 0.000 0.125 0.000 x2
2 Nd 0.000 0.372 0.503 x2
3 Nd 0.000 0.628 0.996 x2
4 Nd 0.246 0.626 0.334 x4
5 Dy 0.000 0.878 0.499 x2
6 Dy 0.250 0.122 0.333 x4

---

Tell me which of them is the least stable. Sure, it is (b).

---

(a)
# PrNd4Dy5

An optimized crystal structure of PrNd4Dy5 (GGA-PBE, Alexandria via LeMat-Bulk).

Cell: 10.609 10.609 6.113 Å, 90.00 90.00 90.00°
Space group I4mm (No. 107)
Symmetry-distinct sites (fractional):
1 Pr 0.000 0.000 0.000 x2
2 Nd 0.000 0.327 0.731 x8
3 Dy 0.000 0.000 0.529 x2
4 Dy 0.189 0.189 0.272 x8

---

(b)
# PrNd4Dy5

An optimized crystal structure of PrNd4Dy5 (GGA-PBE, Alexandria via LeMat-Bulk).

Cell: 25.797 3.621 7.221 Å, 90.00 98.06 90.00°
Space group C2/m (No. 12)
Symmetry-distinct sites (fractional):
1 Pr 0.000 0.000 0.000 x2
2 Nd 0.102 0.500 0.303 x4
3 Nd 0.102 0.500 0.799 x4
4 Dy 0.000 0.000 0.500 x2
5 Dy 0.202 0.000 0.101 x4
6 Dy 0.202 0.000 0.601 x4

---

Tell me which of them is the least stable. Sure, it is (a).